(1)
First-principles (GGA-PBE) data for a geometry-optimized CoSiTc structure, as listed in Alexandria.

The calculation puts the spin magnetization at 1.41 μB/cell. Its excess energy over the best structure of this formula in the dataset is 0 meV/atom. The value obtained for the density of states at the Fermi level is 1.04 states/eV per atom. As for the energy relative to the elements, uncorrected: -0.81 eV/f.u.

a b c (Å): 3.990 3.990 2.707
angles (deg): 90.00 90.00 120.00
Atoms (fractional coordinates):
Co1 0.000 0.000 0.000
Si1 0.333 0.667 0.000
Tc1 0.667 0.333 0.500



(2)
First-principles (GGA-PBE) data for a geometry-optimized Sm3Se5S12 structure, as listed in Alexandria.

The calculation puts the spin magnetization at 0.00 μB/cell. The value obtained for the density of states at the Fermi level is 0.38 states/eV per atom. As for the energy relative to the elements, uncorrected: -7.84 eV/f.u.

a b c (Å): 13.648 13.648 13.648
angles (deg): 109.47 109.47 109.47
Atoms (fractional coordinates):
Sm1 0.125 0.250 0.375
Sm2 0.125 0.375 0.750
Sm3 0.250 0.375 0.125
Sm4 0.250 0.875 0.625
Sm5 0.375 0.125 0.250
Sm6 0.375 0.750 0.125
Sm7 0.625 0.250 0.875
Sm8 0.625 0.875 0.750
Sm9 0.750 0.125 0.375
Sm10 0.750 0.625 0.875
Sm11 0.875 0.625 0.250
Sm12 0.875 0.750 0.625
Se1 0.000 0.000 0.000
Se2 0.000 0.000 0.500
Se3 0.000 0.500 0.000
Se4 0.000 0.500 0.500
Se5 0.125 0.750 0.875
Se6 0.125 0.875 0.250
Se7 0.250 0.125 0.875
Se8 0.250 0.625 0.375
Se9 0.375 0.250 0.625
Se10 0.375 0.625 0.750
Se11 0.500 0.000 0.000
Se12 0.500 0.000 0.500
Se13 0.500 0.500 0.000
Se14 0.500 0.500 0.500
Se15 0.625 0.375 0.250
Se16 0.625 0.750 0.375
Se17 0.750 0.375 0.625
Se18 0.750 0.875 0.125
Se19 0.875 0.125 0.750
Se20 0.875 0.250 0.125
S1 0.044 0.212 0.134
S2 0.044 0.333 0.910
S3 0.078 0.712 0.667
S4 0.078 0.866 0.410
S5 0.090 0.634 0.422
S6 0.090 0.956 0.667
S7 0.134 0.044 0.212
S8 0.134 0.590 0.922
S9 0.167 0.212 0.578
S10 0.167 0.456 0.590
S11 0.212 0.134 0.044
S12 0.212 0.578 0.167
S13 0.288 0.333 0.922
S14 0.288 0.456 0.366
S15 0.333 0.910 0.044
S16 0.333 0.922 0.288
S17 0.366 0.288 0.456
S18 0.366 0.578 0.910
S19 0.410 0.078 0.866
S20 0.410 0.833 0.544
S21 0.422 0.090 0.634
S22 0.422 0.833 0.788
S23 0.456 0.366 0.288
S24 0.456 0.590 0.167
S25 0.544 0.410 0.833
S26 0.544 0.634 0.712
S27 0.578 0.167 0.212
S28 0.578 0.910 0.366
S29 0.590 0.167 0.456
S30 0.590 0.922 0.134
S31 0.634 0.422 0.090
S32 0.634 0.712 0.544
S33 0.667 0.078 0.712
S34 0.667 0.090 0.956
S35 0.712 0.544 0.634
S36 0.712 0.667 0.078
S37 0.788 0.422 0.833
S38 0.788 0.866 0.956
S39 0.833 0.544 0.410
S40 0.833 0.788 0.422
S41 0.866 0.410 0.078
S42 0.866 0.956 0.788
S43 0.910 0.044 0.333
S44 0.910 0.366 0.578
S45 0.922 0.134 0.590
S46 0.922 0.288 0.333
S47 0.956 0.667 0.090
S48 0.956 0.788 0.866



(3)
First-principles (GGA-PBE) data for a geometry-optimized K3ReBr2F6 structure, as listed in Alexandria.

The calculation puts the spin magnetization at 1.99 μB/cell. The value obtained for the density of states at the Fermi level is 0.82 states/eV per atom. As for the energy relative to the elements, uncorrected: -25.61 eV/f.u.

a b c (Å): 8.958 8.958 5.050
angles (deg): 93.35 93.35 51.43
Atoms (fractional coordinates):
K1 0.000 0.000 0.000
K2 0.000 0.500 0.500
K3 0.500 0.000 0.500
Re1 0.500 0.500 0.500
Br1 0.195 0.195 0.996
Br2 0.805 0.805 0.004
F1 0.293 0.653 0.251
F2 0.347 0.707 0.749
F3 0.385 0.385 0.586
F4 0.615 0.615 0.414
F5 0.653 0.293 0.251
F6 0.707 0.347 0.749



(4)
First-principles (GGA-PBE) data for a geometry-optimized SnGe2OsC structure, as listed in Alexandria.

The calculation puts the spin magnetization at 2.00 μB/cell. For the formation energy, the calculation gives 1415 meV/atom. The value obtained for the density of states at the Fermi level is 0.50 states/eV per atom.

a b c (Å): 4.704 4.704 5.207
angles (deg): 90.00 90.00 90.00
Atoms (fractional coordinates):
Sn1 0.000 0.000 0.000
Ge1 0.000 0.500 0.500
Ge2 0.500 0.000 0.500
Os1 0.000 0.000 0.500
C1 0.500 0.500 0.000



(5)
First-principles (GGA-PBE) data for a geometry-optimized Th2PdRh structure, as listed in Alexandria.

The calculation puts the spin magnetization at 0.00 μB/cell. For the formation energy, the calculation gives -823 meV/atom. The value obtained for the density of states at the Fermi level is 0.54 states/eV per atom.

a b c (Å): 7.266 7.266 7.266
angles (deg): 33.10 33.10 33.10
Atoms (fractional coordinates):
Th1 0.246 0.246 0.246
Th2 0.754 0.754 0.754
Pd1 0.000 0.000 0.000
Rh1 0.500 0.500 0.500



(6)
First-principles (GGA-PBE) data for a geometry-optimized Tb2PrGa6 structure, as listed in Alexandria.

The calculation puts the spin magnetization at 0.00 μB/cell. Its excess energy over the best structure of this formula in the dataset is 0 meV/atom. For the formation energy, the calculation gives -659 meV/atom. The value obtained for the density of states at the Fermi level is 0.63 states/eV per atom.

a b c (Å): 7.348 7.348 4.215
angles (deg): 90.00 90.00 120.00
Atoms (fractional coordinates):
Tb1 0.333 0.667 0.000
Tb2 0.667 0.333 0.000
Pr1 0.000 0.000 0.000
Ga1 0.000 0.335 0.500
Ga2 0.000 0.665 0.500
Ga3 0.335 0.000 0.500
Ga4 0.335 0.335 0.500
Ga5 0.665 0.000 0.500
Ga6 0.665 0.665 0.500



(7)
First-principles (GGA-PBE) data for a geometry-optimized K2ScNb structure, as listed in Alexandria.

The calculation puts the spin magnetization at 5.12 μB/cell. Its excess energy over the best structure of this formula in the dataset is 0 meV/atom. For the formation energy, the calculation gives 1404 meV/atom. The value obtained for the density of states at the Fermi level is 1.50 states/eV per atom.

a b c (Å): 9.138 9.138 9.138
angles (deg): 94.37 94.37 147.94
Atoms (fractional coordinates):
K1 0.375 0.243 0.368
K2 0.757 0.125 0.132
K3 0.875 0.007 0.632
K4 0.993 0.625 0.868
Sc1 0.250 0.750 0.500
Sc2 0.500 0.500 0.000
Nb1 0.000 0.000 0.000
Nb2 0.750 0.250 0.500



(8)
First-principles (GGA-PBE) data for a geometry-optimized Cu2IrRh2 structure, as listed in Alexandria.

The calculation puts the spin magnetization at 2.86 μB/cell. Its excess energy over the best structure of this formula in the dataset is 0 meV/atom. For the formation energy, the calculation gives 337 meV/atom. The value obtained for the density of states at the Fermi level is 1.61 states/eV per atom.

a b c (Å): 6.986 6.986 2.806
angles (deg): 90.00 90.00 90.00
Atoms (fractional coordinates):
Cu1 0.122 0.378 0.000
Cu2 0.378 0.878 0.000
Cu3 0.622 0.122 0.000
Cu4 0.878 0.622 0.000
Ir1 0.000 0.000 0.000
Ir2 0.500 0.500 0.000
Rh1 0.177 0.677 0.500
Rh2 0.323 0.177 0.500
Rh3 0.677 0.823 0.500
Rh4 0.823 0.323 0.500



(9)
First-principles (GGA-PBE) data for a geometry-optimized Bi4IO6 structure, as listed in Alexandria.

The calculation puts the spin magnetization at 0.82 μB/cell. Its excess energy over the best structure of this formula in the dataset is 310 meV/atom. The value obtained for the density of states at the Fermi level is 0.35 states/eV per atom. As for the energy relative to the elements, uncorrected: -7.30 eV/f.u.

a b c (Å): 7.667 7.667 3.482
angles (deg): 90.00 90.00 120.00
Atoms (fractional coordinates):
Bi1 0.000 0.000 0.000
Bi2 0.050 0.525 0.500
Bi3 0.475 0.525 0.500
Bi4 0.475 0.950 0.500
I1 0.667 0.333 0.000
O1 0.211 0.423 0.000
O2 0.211 0.789 0.000
O3 0.260 0.130 0.500
O4 0.577 0.789 0.000
O5 0.870 0.130 0.500
O6 0.870 0.740 0.500



(10)
First-principles (GGA-PBE) data for a geometry-optimized Sr3La2Zn2Pt4 structure, as listed in Alexandria.

The calculation puts the spin magnetization at 0.00 μB/cell. For the formation energy, the calculation gives -768 meV/atom. The value obtained for the density of states at the Fermi level is 0.48 states/eV per atom.

a b c (Å): 4.394 4.394 18.411
angles (deg): 90.00 90.00 120.00
Atoms (fractional coordinates):
Sr1 0.000 0.000 0.000
Sr2 0.000 0.000 0.233
Sr3 0.000 0.000 0.767
La1 0.333 0.667 0.587
La2 0.667 0.333 0.413
Zn1 0.333 0.667 0.117
Zn2 0.667 0.333 0.883
Pt1 0.333 0.667 0.340
Pt2 0.333 0.667 0.884
Pt3 0.667 0.333 0.116
Pt4 0.667 0.333 0.660



(11)
First-principles (GGA-PBE) data for a geometry-optimized Sn2AuSe4 structure, as listed in Alexandria.

The calculation puts the spin magnetization at 0.00 μB/cell. The value obtained for the density of states at the Fermi level is 0.33 states/eV per atom. As for the energy relative to the elements, uncorrected: -1.80 eV/f.u.

a b c (Å): 7.948 7.948 7.930
angles (deg): 115.38 115.38 98.08
Atoms (fractional coordinates):
Sn1 0.010 0.990 0.500
Sn2 0.012 0.538 0.047
Sn3 0.538 0.012 0.547
Sn4 0.990 0.010 0.000
Au1 0.278 0.551 0.748
Au2 0.551 0.278 0.248
Se1 0.232 0.747 0.510
Se2 0.238 0.276 0.978
Se3 0.276 0.238 0.478
Se4 0.279 0.824 0.060
Se5 0.747 0.232 0.010
Se6 0.748 0.759 0.537
Se7 0.759 0.748 0.037
Se8 0.824 0.279 0.560



(12)
First-principles (GGA-PBE) data for a geometry-optimized Sc2SiIrO structure, as listed in Alexandria.

The calculation puts the spin magnetization at 0.00 μB/cell. The value obtained for the density of states at the Fermi level is 0.48 states/eV per atom. As for the energy relative to the elements, uncorrected: -1.72 eV/f.u.

a b c (Å): 5.161 5.161 3.721
angles (deg): 90.00 90.00 90.00
Atoms (fractional coordinates):
Sc1 0.000 0.500 0.000
Sc2 0.500 0.000 0.000
Si1 0.000 0.000 0.500
Ir1 0.500 0.500 0.000
O1 0.500 0.500 0.500



(13)
First-principles (GGA-PBE) data for a geometry-optimized Tc2O5F4 structure, as listed in Alexandria.

The calculation puts the spin magnetization at 0.11 μB/cell. Its excess energy over the best structure of this formula in the dataset is 0 meV/atom. The value obtained for the density of states at the Fermi level is 0.00 states/eV per atom. As for the energy relative to the elements, uncorrected: -17.58 eV/f.u.

a b c (Å): 8.731 15.737 5.465
angles (deg): 90.00 90.44 90.00
Atoms (fractional coordinates):
Tc1 0.126 0.148 0.015
Tc2 0.126 0.352 0.515
Tc3 0.373 0.622 0.824
Tc4 0.373 0.878 0.324
Tc5 0.627 0.122 0.676
Tc6 0.627 0.378 0.176
Tc7 0.874 0.648 0.485
Tc8 0.874 0.852 0.985
O1 0.114 0.067 0.814
O2 0.114 0.433 0.314
O3 0.116 0.098 0.286
O4 0.116 0.402 0.786
O5 0.218 0.606 0.007
O6 0.218 0.894 0.507
O7 0.357 0.556 0.579
O8 0.357 0.944 0.079
O9 0.465 0.096 0.516
O10 0.465 0.404 0.016
O11 0.535 0.596 0.984
O12 0.535 0.904 0.484
O13 0.643 0.056 0.921
O14 0.643 0.444 0.421
O15 0.782 0.106 0.493
O16 0.782 0.394 0.993
O17 0.884 0.598 0.214
O18 0.884 0.902 0.714
O19 0.886 0.567 0.686
O20 0.886 0.933 0.186
F1 0.078 0.684 0.507
F2 0.078 0.816 0.007
F3 0.142 0.234 0.712
F4 0.142 0.266 0.212
F5 0.338 0.165 0.007
F6 0.338 0.335 0.507
F7 0.381 0.735 0.720
F8 0.381 0.765 0.220
F9 0.619 0.235 0.780
F10 0.619 0.265 0.280
F11 0.662 0.665 0.493
F12 0.662 0.835 0.993
F13 0.858 0.734 0.788
F14 0.858 0.766 0.288
F15 0.922 0.184 0.993
F16 0.922 0.316 0.493



(14)
First-principles (GGA-PBE) data for a geometry-optimized AcAsRhF structure, as listed in Alexandria.

The calculation puts the spin magnetization at 0.00 μB/cell. The value obtained for the density of states at the Fermi level is 0.49 states/eV per atom. As for the energy relative to the elements, uncorrected: -8.08 eV/f.u.

a b c (Å): 4.138 4.138 9.035
angles (deg): 90.00 90.00 90.00
Atoms (fractional coordinates):
Ac1 0.250 0.250 0.190
Ac2 0.750 0.750 0.810
As1 0.250 0.250 0.659
As2 0.750 0.750 0.341
Rh1 0.250 0.750 0.500
Rh2 0.750 0.250 0.500
F1 0.250 0.750 0.000
F2 0.750 0.250 0.000



(15)
First-principles (GGA-PBE) data for a geometry-optimized SmHo6Sc3 structure, as listed in Alexandria.

The calculation puts the spin magnetization at 0.00 μB/cell. Its excess energy over the best structure of this formula in the dataset is 109 meV/atom. For the formation energy, the calculation gives 164 meV/atom. The value obtained for the density of states at the Fermi level is 1.23 states/eV per atom.

a b c (Å): 10.646 10.646 6.193
angles (deg): 90.00 90.00 122.46
Atoms (fractional coordinates):
Sm1 0.211 0.789 0.500
Sm2 0.789 0.211 0.000
Ho1 0.031 0.437 0.345
Ho2 0.045 0.955 0.847
Ho3 0.295 0.366 0.176
Ho4 0.311 0.689 0.030
Ho5 0.366 0.295 0.676
Ho6 0.437 0.031 0.845
Ho7 0.563 0.969 0.345
Ho8 0.634 0.705 0.176
Ho9 0.689 0.311 0.530
Ho10 0.705 0.634 0.676
Ho11 0.955 0.045 0.347
Ho12 0.969 0.563 0.845
Sc1 0.079 0.308 0.777
Sc2 0.308 0.079 0.277
Sc3 0.385 0.615 0.572
Sc4 0.615 0.385 0.072
Sc5 0.692 0.921 0.777
Sc6 0.921 0.692 0.277



(16)
First-principles (GGA-PBE) data for a geometry-optimized Hg2Bi2Pb5 structure, as listed in Alexandria.

The calculation puts the spin magnetization at 0.00 μB/cell. Its excess energy over the best structure of this formula in the dataset is 0 meV/atom. For the formation energy, the calculation gives 21 meV/atom. The value obtained for the density of states at the Fermi level is 0.34 states/eV per atom.

a b c (Å): 7.859 7.859 8.124
angles (deg): 107.31 107.31 35.61
Atoms (fractional coordinates):
Hg1 0.224 0.224 0.348
Hg2 0.776 0.776 0.652
Bi1 0.329 0.329 0.991
Bi2 0.671 0.671 0.009
Pb1 0.000 0.000 0.000
Pb2 0.113 0.113 0.675
Pb3 0.439 0.439 0.664
Pb4 0.561 0.561 0.336
Pb5 0.887 0.887 0.325



(17)
First-principles (GGA-PBE) data for a geometry-optimized Ti8AlC4 structure, as listed in Alexandria.

The calculation puts the spin magnetization at 0.00 μB/cell. For the formation energy, the calculation gives -647 meV/atom. The value obtained for the density of states at the Fermi level is 0.67 states/eV per atom.

a b c (Å): 7.668 7.668 10.609
angles (deg): 133.72 133.72 23.48
Atoms (fractional coordinates):
Ti1 0.042 0.042 0.201
Ti2 0.311 0.311 0.459
Ti3 0.342 0.342 0.884
Ti4 0.352 0.352 0.163
Ti5 0.648 0.648 0.837
Ti6 0.658 0.658 0.116
Ti7 0.689 0.689 0.541
Ti8 0.958 0.958 0.799
Al1 0.000 0.000 0.500
C1 0.155 0.155 0.978
C2 0.324 0.324 0.669
C3 0.676 0.676 0.331
C4 0.845 0.845 0.022